1.
Material: HfScCuTc
Method: DFT, PBE
State: relaxed

Cell lengths 3.2983, 3.2983, 6.3769 Å; angles 90.00, 90.00, 90.00 degrees
Last column: nearest neighbours and their distance in Å.
Positions (direct):
Hf 0.0000 0.0000 0.0000  4 Tc 2.76, 4 Cu 2.85, 1 Sc 3.08
Sc 0.0000 0.0000 0.5175  4 Tc 2.83, 4 Cu 2.87, 1 Hf 3.08
Cu 0.5000 0.5000 0.2559  4 Hf 2.85, 4 Sc 2.87, 1 Tc 3.10
Tc 0.5000 0.5000 0.7695  4 Hf 2.76, 4 Sc 2.83

Values from the calculation:
Magnetization = 0.000 μB/f.u.
V = 17.343 A^3/atom
Calculated formation energy = -7.80 kcal/mol of atoms



2.
Material: YHg2Br
Method: DFT, PBE
State: relaxed

Cell lengths 9.3275, 9.3275, 9.3275 Å; angles 23.29, 23.29, 23.29 degrees
Last column: nearest neighbours and their distance in Å.
Positions (direct):
Y 0.0000 0.0000 0.0000  6 Hg 3.16
Hg 0.2488 0.2488 0.2488  3 Br 3.12, 3 Y 3.16
Hg 0.7512 0.7512 0.7512  3 Br 3.12, 3 Y 3.16
Br 0.5000 0.5000 0.5000  6 Hg 3.12

Values from the calculation:
Magnetization = 0.000 μB/f.u.
V = 27.837 A^3/atom
Formation energy from raw total energies = -0.352 eV/atom



3.
Material: KTaW2
Method: DFT, PBE
State: relaxed

Cell lengths 6.1720, 6.1720, 6.1720 Å; angles 152.75, 126.19, 61.35 degrees
Last column: nearest neighbours and their distance in Å.
Positions (direct):
K 0.0000 0.0000 0.0000  2 K 2.91, 4 W 3.15
Ta 0.2985 0.7985 0.5000  2 W 2.71, 2 Ta 2.91
W 0.5138 0.5138 0.0000  2 W 2.56, 2 Ta 2.71
W 0.7119 0.2119 0.5000  2 W 2.56

Values from the calculation:
Magnetization = 0.786 μB/f.u.
V = 21.556 A^3/atom
Calculated formation energy = 32.54 kcal/mol of atoms



4.
Material: Ca2SnTe3
Method: DFT, PBE
State: relaxed

Cell lengths 7.8765, 7.8765, 7.8765 Å; angles 146.56, 132.17, 59.62 degrees
Last column: nearest neighbours and their distance in Å.
Positions (direct):
Ca 0.1659 0.1659 0.0000  6 Te 3.19-3.21
Ca 0.8341 0.8341 0.0000  6 Te 3.19-3.21
Sn 0.5000 0.5000 0.0000  6 Te 3.19-3.22
Te 0.0000 0.5000 0.5000  2 Sn 3.19, 4 Ca 3.21
Te 0.3324 0.8324 0.5000  4 Ca 3.19-3.21, 2 Sn 3.22
Te 0.6676 0.1676 0.5000  4 Ca 3.19-3.21, 2 Sn 3.22

Values from the calculation:
Magnetization = 0.000 μB/f.u.
V = 32.972 A^3/atom
Formation energy from raw total energies = -1.178 eV/atom



5.
Material: KNa2SbN
Method: DFT, PBE
State: relaxed

Cell lengths 5.8675, 5.8675, 4.6340 Å; angles 90.00, 90.00, 90.00 degrees
Last column: nearest neighbours and their distance in Å.
Positions (direct):
K 0.0000 0.0000 0.0000  2 N 2.32
Na 0.0000 0.5000 0.0000  2 K 2.93
Na 0.5000 0.0000 0.0000  2 K 2.93
Sb 0.5000 0.5000 0.5000  8 Na 3.74, 4 N 4.15
N 0.0000 0.0000 0.5000  2 K 2.32

Values from the calculation:
Magnetization = 2.511 μB/f.u.
V = 31.908 A^3/atom
Formation energy from raw total energies = 0.950 eV/atom



6.
Material: LaScFe
Method: DFT, PBE
State: relaxed

Cell lengths 6.8139, 6.8139, 6.8139 Å; angles 152.27, 152.27, 39.61 degrees
Last column: nearest neighbours and their distance in Å.
Positions (direct):
La 0.0000 0.0000 0.0000  4 Fe 2.94, 1 Sc 3.22, 4 La 3.27
Sc 0.2509 0.2509 0.0000  4 Fe 2.70
Fe 0.6424 0.6424 0.0000  4 Sc 2.70, 4 La 2.94

Values from the calculation:
Magnetization = 0.001 μB/f.u.
V = 22.783 A^3/atom
Calculated formation energy = 1.87 kcal/mol of atoms